(1)
# GGA-PBE Dy4AgSe5, optimized geometry
# D(E_F), states/eV per atom: 0.366
# Magnetization, μB per cell: 0.00
# Formation energy (no corrections), eV/f.u.: -14.3
data_Dy4AgSe5
_symmetry_space_group_name_H-M 'C 1 2/m 1'
_symmetry_Int_Tables_number 12
_cell_length_a 17.8904
_cell_length_b 4.0316
_cell_length_c 8.9718
_cell_angle_alpha 90.00
_cell_angle_beta 107.05
_cell_angle_gamma 90.00
loop_
_symmetry_equiv_pos_as_xyz
'x,y,z'
'-x,-y,-z'
'-x,y,-z'
'x,-y,z'
'x+1/2,y+1/2,z'
'-x+1/2,-y+1/2,-z'
'-x+1/2,y+1/2,-z'
'x+1/2,-y+1/2,z'
loop_
_atom_site_label
_atom_site_type_symbol
_atom_site_fract_x
_atom_site_fract_y
_atom_site_fract_z
Dy1 Dy 0.0033 0.0000 0.2807
Dy2 Dy 0.1816 0.5000 0.1107
Ag1 Ag 0.0000 0.5000 0.0000
Se1 Se 0.0000 0.5000 0.5000
Se2 Se 0.1602 0.0000 0.3090
Se3 Se 0.1596 0.0000 0.8690

(2)
# GGA-PBE VB3Sb, optimized geometry
# D(E_F), states/eV per atom: 1.526
# Magnetization, μB per cell: 3.04
# Polymorph energy (0 for the lowest one), meV/atom: 1121
# Formation energy (no corrections), eV/f.u.: 11.8
data_VB3Sb
_symmetry_space_group_name_H-M 'P m -3 m'
_symmetry_Int_Tables_number 221
_symmetry_space_group_name_Hall '-P 4 2 3'
_cell_length_a 4.4033
_cell_length_b 4.4033
_cell_length_c 4.4033
_cell_angle_alpha 90.00
_cell_angle_beta 90.00
_cell_angle_gamma 90.00
loop_
_atom_site_label
_atom_site_type_symbol
_atom_site_fract_x
_atom_site_fract_y
_atom_site_fract_z
V1 V 0.0000 0.0000 0.0000
B1 B 0.0000 0.5000 0.5000
Sb1 Sb 0.5000 0.5000 0.5000